Record 1
FeCu3 (PBE, relaxed); total energy = -20.3 eV per cell; DFT formation energy = 0.115 eV per atom; M_tot = 2.84 μB per formula unit
1.0
2.519 0.000 0.000
-1.260 4.269 0.000
0.000 -0.673 4.450
Cu Fe
3 1
Cartesian
1.260 4.267 0.004
1.260 -0.335 2.220
0.000 1.629 3.337
1.260 1.966 1.112



Record 2
PmNdCuAg (PBE, relaxed); total energy = -17.3 eV per cell; DFT formation energy = -0.208 eV per atom; M_tot = 0.00 μB per formula unit
1.0
3.657 0.000 0.000
0.000 3.657 0.000
0.000 0.000 7.355
Pm Nd Cu Ag
1 1 1 1
Cartesian
1.829 1.829 4.360
1.829 1.829 0.889
0.000 0.000 2.660
0.000 0.000 6.271



Record 3
LaMoBr2 (PBE, relaxed); total energy = -20.5 eV per cell; formation energy from raw total energies = -0.34 eV/atom; M_tot = 0.00 μB per formula unit
1.0
-1.288 -3.202 0.333
2.524 -1.227 -2.036
5.061 -1.301 7.059
Mo Br La
1 2 1
Cartesian
4.568 -3.230 4.658
4.566 -1.174 6.368
2.108 -2.598 1.227
2.646 -0.680 3.691



Record 4
Zn2Rh2W (PBE, relaxed); total energy = -31.4 eV per cell; DFT formation energy = -0.248 eV per atom; M_tot = 0.00 μB per formula unit
1.0
2.829 0.000 0.000
0.000 2.759 0.523
0.000 -0.391 9.606
Zn Rh W
2 2 1
Cartesian
0.000 0.281 6.057
0.000 2.087 4.072
1.414 1.037 2.070
1.414 1.331 8.059
0.000 0.000 0.000



Record 5
Tb4Hg2N (PBE, relaxed); total energy = -32.5 eV per cell; formation energy from raw total energies = -0.72 eV/atom; M_tot = 0.00 μB per formula unit
1.0
-2.249 2.785 3.264
-1.199 -3.946 2.541
4.585 -0.011 6.764
Tb Hg N
4 2 1
Cartesian
-1.325 -0.970 7.104
2.462 -0.202 5.465
-0.599 -1.973 1.271
-1.125 1.392 1.632
1.204 -0.741 8.652
-0.067 -0.431 3.917
0.000 0.000 0.000



Record 6
SrTc2Ir (PBE, relaxed); total energy = -27.6 eV per cell; DFT formation energy = 0.929 eV per atom; M_tot = 0.00 μB per formula unit
1.0
5.331 0.006 0.000
2.325 4.797 0.000
-3.828 -2.401 2.828
Ir Sr Tc
1 1 2
Cartesian
1.163 2.398 1.414
2.665 0.003 1.414
0.000 0.000 0.000
3.828 2.401 0.000



Record 7
SiNiAu3 (PBE, relaxed); total energy = -16.8 eV per cell; formation energy from raw total energies = 0.85 eV/atom; M_tot = 0.01 μB per formula unit
1.0
-0.383 -4.716 -0.327
4.716 -0.403 0.293
-0.319 -0.302 4.722
Ni Si Au
1 1 3
Cartesian
0.000 0.000 0.000
2.007 -2.710 2.344
2.358 -0.202 0.146
-0.160 -0.151 2.361
-0.192 -2.358 -0.164



Record 8
YTeAs2 (PBE, relaxed); total energy = -20.8 eV per cell; formation energy from raw total energies = -0.47 eV/atom; M_tot = 0.00 μB per formula unit
1.0
4.941 0.024 0.000
-0.935 4.852 0.000
0.000 0.000 3.873
Y As Te
1 2 1
Cartesian
-0.468 2.426 1.936
0.000 0.000 0.000
2.003 2.438 0.000
2.470 0.012 1.936



Record 9
Co2NiPd8 (PBE, relaxed); total energy = -60.0 eV per cell; DFT formation energy = 0.143 eV per atom; M_tot = 7.61 μB per formula unit
1.0
2.719 -0.001 0.491
-0.326 7.012 1.803
-0.191 0.410 8.829
Co Ni Pd
2 1 8
Cartesian
0.686 2.205 3.733
1.525 5.194 6.858
-0.184 0.407 8.551
2.303 3.880 2.553
0.366 0.281 5.507
0.544 4.730 4.516
1.132 1.661 1.260
1.667 2.669 6.073
1.845 7.118 5.085
-0.091 3.517 8.036
1.079 5.736 9.330



Record 10
ScRe2Ag (PBE, relaxed); total energy = -32.9 eV per cell; DFT formation energy = 0.302 eV per atom; M_tot = 0.00 μB per formula unit
1.0
-3.733 1.463 -2.646
-4.777 0.476 -0.185
-0.250 4.849 1.840
Ag Re Sc
1 2 1
Cartesian
-2.218 1.772 -0.229
-0.253 4.677 1.770
-6.546 5.269 -0.661
-4.373 3.312 -0.525



Record 11
AsIr2Os (PBE, relaxed); total energy = -32.2 eV per cell; DFT formation energy = 0.352 eV per atom; M_tot = 0.00 μB per formula unit
1.0
2.821 0.000 0.000
0.000 3.739 0.000
0.000 0.000 5.717
As Ir Os
1 2 1
Cartesian
1.410 1.869 4.400
0.000 0.000 5.683
1.410 1.869 1.493
0.000 0.000 2.718



Record 12
Yb3Nb (PBE, relaxed); total energy = -13.3 eV per cell; DFT formation energy = 0.331 eV per atom; M_tot = 1.67 μB per formula unit
1.0
5.776 -0.011 0.000
1.730 5.510 0.000
-3.753 -2.750 3.422
Nb Yb
1 3
Cartesian
0.000 0.000 0.000
2.888 -0.005 1.711
0.865 2.755 1.711
3.753 2.750 0.000



Record 13
SrIrWN2 (PBE, relaxed); total energy = -38.9 eV per cell; formation energy from raw total energies = 0.26 eV/atom; M_tot = 0.77 μB per formula unit
1.0
-2.763 -0.294 2.997
1.226 -4.828 0.657
2.842 1.093 2.727
Sr Ir W N
1 1 1 2
Cartesian
0.652 -2.015 3.190
0.613 -2.414 0.328
0.000 0.000 0.000
1.421 0.546 1.363
-1.382 -0.147 1.499